Entry 1:
A plane-wave DFT calculation with PBE-GGA was carried out for crystalline YAs3Rh3 at its relaxed geometry.

Calculated values
- electronic total energy (eV per cell) = -89.44

Cell lengths 6.6871, 6.6871, 6.6871 Å; angles 90.00, 90.00, 90.00 degrees
Space group Pm-3n (No. 223)
Asymmetric unit:
Y1 0.0000 0.0000 0.0000
As1 0.0000 0.2500 0.5000
Rh1 0.0000 0.5000 0.2500


Entry 2:
A plane-wave DFT calculation with PBE-GGA was carried out for crystalline B5C7 at its relaxed geometry.

Calculated values
- offset from the most stable computed form (eV per atom) = 0.159

Cell lengths 2.5759, 2.5759, 13.6637 Å; angles 90.00, 90.00, 120.00 degrees
Space group P3m1 (No. 156)
Asymmetric unit:
B1 0.0000 0.0000 0.0000
B2 0.0000 0.0000 0.1239
B3 0.0000 0.0000 0.6052
B4 0.6667 0.3333 0.4419
B5 0.6667 0.3333 0.9207
C1 0.0000 0.0000 0.4904
C2 0.3333 0.6667 0.1739
C3 0.3333 0.6667 0.2852
C4 0.3333 0.6667 0.6553
C5 0.3333 0.6667 0.7658
C6 0.6667 0.3333 0.3222
C7 0.6667 0.3333 0.8049


Entry 3:
A plane-wave DFT calculation with PBE-GGA was carried out for crystalline Pu2TlO6 at its relaxed geometry.

Calculated values
- offset from the most stable computed form (eV per atom) = 0.000

Cell lengths 11.0704, 11.0704, 11.0704 Å; angles 90.00, 90.00, 90.00 degrees
Space group Fd-3m (No. 227, origin choice 2)
Asymmetric unit:
Pu1 0.0000 0.0000 0.0000
Tl1 0.1250 0.1250 0.6250
O1 0.0668 0.3750 0.3750


Entry 4:
A plane-wave DFT calculation with PBE-GGA was carried out for crystalline Ti4As3H4 at its relaxed geometry.

Calculated values
- electronic total energy (eV per cell) = -126.87

Cell lengths 3.2394, 6.8572, 11.9874 Å; angles 90.00, 90.00, 90.00 degrees
Space group Immm (No. 71)
Asymmetric unit:
Ti1 0.0000 0.0000 0.2047
Ti2 0.0000 0.2175 0.5000
As1 0.0000 0.0000 0.0000
As2 0.0000 0.5000 0.1242
H1 0.0000 0.3401 0.3405


Entry 5:
A plane-wave DFT calculation with PBE-GGA was carried out for crystalline BaNa2PF at its relaxed geometry.

Calculated values
- electronic total energy (eV per cell) = -18.93

Cell lengths 4.6952, 4.6952, 5.3668 Å; angles 90.00, 90.00, 90.00 degrees
Space group P4/mmm (No. 123)
Asymmetric unit:
Ba1 0.0000 0.0000 0.0000
Na1 0.0000 0.5000 0.5000
P1 0.5000 0.5000 0.0000
F1 0.0000 0.0000 0.5000


Entry 6:
A plane-wave DFT calculation with PBE-GGA was carried out for crystalline Sm5Ho4In at its relaxed geometry.

Calculated values
- offset from the most stable computed form (eV per atom) = 0.140

Cell lengths 10.6060, 10.6060, 5.8965 Å; angles 90.00, 90.00, 90.00 degrees
Space group I4mm (No. 107)
Asymmetric unit:
Sm1 0.0000 0.0000 0.0000
Sm2 0.1870 0.1870 0.7179
Ho1 0.0000 0.3174 0.2108
In1 0.0000 0.0000 0.4804


Entry 7:
A plane-wave DFT calculation with PBE-GGA was carried out for crystalline NdSi2TcRu at its relaxed geometry.

Calculated values
- electronic total energy (eV per cell) = -77.81

Cell lengths 4.2541, 4.2541, 9.8157 Å; angles 90.00, 90.00, 90.00 degrees
Space group I-4m2 (No. 119)
Asymmetric unit:
Nd1 0.0000 0.0000 0.0000
Si1 0.0000 0.0000 0.3651
Tc1 0.0000 0.5000 0.2500
Ru1 0.0000 0.5000 0.7500


Entry 8:
A plane-wave DFT calculation with PBE-GGA was carried out for crystalline Mg3Sn3PdRu2 at its relaxed geometry.

Calculated values
- electronic total energy (eV per cell) = -42.98

Cell lengths 7.5342, 7.5342, 3.3192 Å; angles 90.00, 90.00, 120.00 degrees
Space group P-62m (No. 189)
Asymmetric unit:
Mg1 0.0000 0.2748 0.0000
Sn1 0.0000 0.6162 0.5000
Pd1 0.0000 0.0000 0.5000
Ru1 0.3333 0.6667 0.0000


Entry 9:
A plane-wave DFT calculation with PBE-GGA was carried out for crystalline Ho2Tm12Zr at its relaxed geometry.

Calculated values
- electronic total energy (eV per cell) = -69.04

Cell lengths 3.4921, 5.4353, 23.8967 Å; angles 90.00, 92.76, 90.00 degrees
Space group P2/m (No. 10)
Asymmetric unit:
Ho1 0.1720 0.0000 0.2757
Tm1 0.1447 0.0000 0.1234
Tm2 0.2324 0.5000 0.4450
Tm3 0.2469 0.5000 0.9406
Tm4 0.2747 0.0000 0.5773
Tm5 0.3078 0.5000 0.6697
Tm6 0.3648 0.5000 0.8033
Zr1 0.5000 0.0000 0.0000


Entry 10:
A plane-wave DFT calculation with PBE-GGA was carried out for crystalline Mg2Zn5Au4 at its relaxed geometry.

Calculated values
- electronic total energy (eV per cell) = -101.72

Cell lengths 5.2051, 8.7039, 17.9633 Å; angles 90.00, 90.00, 90.00 degrees
Space group Fmmm (No. 69)
Asymmetric unit:
Mg1 0.0000 0.0000 0.1168
Zn1 0.0000 0.0000 0.5000
Zn2 0.2500 0.2500 0.0000
Zn3 0.2500 0.2500 0.2500
Au1 0.0000 0.1655 0.3709


Entry 11:
A plane-wave DFT calculation with PBE-GGA was carried out for crystalline SrTl4Pb at its relaxed geometry.

Calculated values
- offset from the most stable computed form (eV per atom) = 0.080

Cell lengths 9.2138, 9.2138, 9.2138 Å; angles 90.00, 90.00, 90.00 degrees
Space group F-43m (No. 216)
Asymmetric unit:
Sr1 0.0000 0.0000 0.0000
Tl1 0.1244 0.1244 0.6244
Pb1 0.2500 0.2500 0.2500


Entry 12:
A plane-wave DFT calculation with PBE-GGA was carried out for crystalline YAgBi at its relaxed geometry.

Calculated values
- electronic total energy (eV per cell) = -25.96

Cell lengths 3.4073, 3.4073, 15.8040 Å; angles 90.00, 90.00, 90.00 degrees
Space group I4mm (No. 107)
Asymmetric unit:
Y1 0.0000 0.0000 0.0000
Ag1 0.0000 0.0000 0.6226
Bi1 0.0000 0.0000 0.8047


Entry 13:
A plane-wave DFT calculation with PBE-GGA was carried out for crystalline Co2Ni2Ge at its relaxed geometry.

Calculated values
- offset from the most stable computed form (eV per atom) = 0.000

Cell lengths 5.8665, 5.8665, 3.5838 Å; angles 90.00, 90.00, 90.00 degrees
Space group P4/mbm (No. 127)
Asymmetric unit:
Co1 0.1359 0.3641 0.0000
Ni1 0.1536 0.6536 0.5000
Ge1 0.0000 0.0000 0.0000


Entry 14:
A plane-wave DFT calculation with PBE-GGA was carried out for crystalline ErPaCdIn at its relaxed geometry.

Calculated values
- electronic total energy (eV per cell) = -70.91

Cell lengths 7.4787, 7.4787, 7.4787 Å; angles 90.00, 90.00, 90.00 degrees
Space group F-43m (No. 216)
Asymmetric unit:
Er1 0.0000 0.0000 0.0000
Pa1 0.0000 0.0000 0.5000
Cd1 0.2500 0.2500 0.2500
In1 0.2500 0.2500 0.7500


Entry 15:
A plane-wave DFT calculation with PBE-GGA was carried out for crystalline Cs2IrPdPt at its relaxed geometry.

Calculated values
- electronic total energy (eV per cell) = -15.97

Cell lengths 6.5205, 6.5205, 4.7707 Å; angles 90.00, 90.00, 90.00 degrees
Space group P4/mmm (No. 123)
Asymmetric unit:
Cs1 0.0000 0.5000 0.0000
Ir1 0.0000 0.0000 0.5000
Pd1 0.0000 0.0000 0.0000
Pt1 0.5000 0.5000 0.5000


Entry 16:
A plane-wave DFT calculation with PBE-GGA was carried out for crystalline LiNi6Rh at its relaxed geometry.

Calculated values
- offset from the most stable computed form (eV per atom) = 0.000

Cell lengths 5.0099, 7.1686, 10.1730 Å; angles 90.00, 90.00, 90.00 degrees
Space group Fmmm (No. 69)
Asymmetric unit:
Li1 0.0000 0.0000 0.0000
Ni1 0.0000 0.0000 0.2517
Ni2 0.2500 0.2500 0.1297
Rh1 0.0000 0.0000 0.5000


Entry 17:
A plane-wave DFT calculation with PBE-GGA was carried out for crystalline AcPmHoPd at its relaxed geometry.

Calculated values
- electronic total energy (eV per cell) = -74.07

Cell lengths 7.6514, 7.6514, 7.6514 Å; angles 90.00, 90.00, 90.00 degrees
Space group F-43m (No. 216)
Asymmetric unit:
Ac1 0.0000 0.0000 0.0000
Pm1 0.2500 0.2500 0.7500
Ho1 0.2500 0.2500 0.2500
Pd1 0.0000 0.0000 0.5000


Entry 18:
A plane-wave DFT calculation with PBE-GGA was carried out for crystalline SrLaBi2O8 at its relaxed geometry.

Calculated values
- electronic total energy (eV per cell) = -147.19

Cell lengths 5.6618, 5.6618, 11.6202 Å; angles 90.00, 90.00, 90.00 degrees
Space group I-4 (No. 82)
Asymmetric unit:
Sr1 0.0000 0.0000 0.0000
La1 0.0000 0.5000 0.7500
Bi1 0.0000 0.0000 0.5000
Bi2 0.0000 0.5000 0.2500
O1 0.1876 0.2428 0.5969
O2 0.2009 0.7373 0.1570


Entry 19:
A plane-wave DFT calculation with PBE-GGA was carried out for crystalline LaErAg at its relaxed geometry.

Calculated values
- offset from the most stable computed form (eV per atom) = 0.224

Cell lengths 10.7400, 9.6150, 9.0145 Å; angles 90.00, 126.45, 90.00 degrees
Space group C2/c (No. 15)
Asymmetric unit:
La1 0.1128 0.1250 0.4756
Er1 0.1226 0.3747 0.9952
Ag1 0.2315 0.3749 0.7500


Entry 20:
A plane-wave DFT calculation with PBE-GGA was carried out for crystalline Tc2IrOs at its relaxed geometry.

Calculated values
- offset from the most stable computed form (eV per atom) = 1.321

Cell lengths 5.5466, 5.5466, 11.2098 Å; angles 90.00, 90.00, 90.00 degrees
Space group I-42d (No. 122)
Asymmetric unit:
Tc1 0.2487 0.2500 0.1250
Ir1 0.0000 0.0000 0.5000
Os1 0.0000 0.0000 0.0000


Entry 21:
A plane-wave DFT calculation with PBE-GGA was carried out for crystalline CuTcSe2 at its relaxed geometry.

Calculated values
- offset from the most stable computed form (eV per atom) = 0.033

Cell lengths 7.0480, 3.1782, 7.7332 Å; angles 90.00, 108.12, 90.00 degrees
Space group C2/m (No. 12)
Asymmetric unit:
Cu1 0.0000 0.0000 0.0000
Tc1 0.0000 0.5000 0.5000
Se1 0.1374 0.0000 0.3116


Entry 22:
A plane-wave DFT calculation with PBE-GGA was carried out for crystalline CeErHg4 at its relaxed geometry.

Calculated values
- offset from the most stable computed form (eV per atom) = 0.185

Cell lengths 8.4654, 8.4654, 8.4654 Å; angles 90.00, 90.00, 90.00 degrees
Space group F-43m (No. 216)
Asymmetric unit:
Ce1 0.0000 0.0000 0.0000
Er1 0.2500 0.2500 0.7500
Hg1 0.1250 0.1250 0.3750


Entry 23:
A plane-wave DFT calculation with PBE-GGA was carried out for crystalline Ag2POs at its relaxed geometry.

Calculated values
- electronic total energy (eV per cell) = -41.80

Cell lengths 2.9733, 4.8496, 9.3211 Å; angles 90.00, 90.00, 90.00 degrees
Space group Cmm2 (No. 35)
Asymmetric unit:
Ag1 0.0000 0.0000 0.0000
Ag2 0.0000 0.5000 0.2632
P1 0.0000 0.5000 0.7158
Os1 0.0000 0.0000 0.5300